[1]
Th2Si7Pd12: optimized geometry, PBE-GGA.

Values from the calculation:
crystal system	trigonal
energy	-0.23070	Ha/atom
raw formation energy	-796	meV per atom
magnetic moment	0.00	μB per formula unit
density of states at the Fermi level	8.92	states/eV/cell
space group	P-3

Cell lengths 3.965, 9.990, 9.990 Å; angles 120.00, 90.00, 90.00 degrees
Sites, in units of the cell vectors:
Th: 0.247 0.333 0.667
Th: 0.753 0.667 0.333
Si: 0.500 0.000 0.000
Si: 0.250 0.886 0.289
Si: 0.250 0.403 0.114
Si: 0.250 0.711 0.597
Si: 0.750 0.114 0.711
Si: 0.750 0.597 0.886
Si: 0.750 0.289 0.403
Pd: 0.248 0.620 0.062
Pd: 0.248 0.442 0.380
Pd: 0.248 0.938 0.558
Pd: 0.752 0.380 0.938
Pd: 0.752 0.558 0.620
Pd: 0.752 0.062 0.442
Pd: 0.249 0.112 0.256
Pd: 0.249 0.144 0.888
Pd: 0.249 0.744 0.856
Pd: 0.751 0.888 0.744
Pd: 0.751 0.856 0.112
Pd: 0.751 0.256 0.144

---

[2]
MnAl2Cr: optimized geometry, PBE-GGA.

Values from the calculation:
crystal system	tetragonal
formation enthalpy at 0 K	-0.1920	eV/atom
energy	-0.24848	Ha/atom
magnetic moment	0.00	μB per formula unit
density of states at the Fermi level	1.60	states/eV/cell
space group	P4mm

Cell lengths 2.932, 2.932, 5.918 Å; angles 90.00, 90.00, 90.00 degrees
Sites, in units of the cell vectors:
Cr: 0.000 0.000 0.516
Mn: 0.500 0.500 0.739
Al: 0.000 0.000 0.973
Al: 0.500 0.500 0.272